# 1
## DyHgNO (GGA-PBE)

Data for a relaxed DyHgNO crystal.

abc: 5.020 5.020 4.591
angles: 90.00 90.00 90.00
Element x y z (fractional)
Dy 0.750 0.250 0.500
Dy 0.250 0.750 0.500
Hg 0.250 0.250 0.002
Hg 0.750 0.750 0.998
N 0.750 0.750 0.498
N 0.250 0.250 0.502
O 0.750 0.250 0.000
O 0.250 0.750 0.000

Results
The symmetry is P4/nmm. As for the total energy: -5.62 eV/atom. The value obtained for the density is 11.28 g cm⁻³.



# 2
## CsNdCu (GGA-PBE)

Data for a relaxed CsNdCu crystal.

abc: 5.356 5.356 5.356
angles: 60.00 60.00 60.00
Element x y z (fractional)
Cs 0.250 0.250 0.250
Cu 0.000 0.000 0.000
Nd 0.750 0.750 0.750

Results
The symmetry is F-43m. As for the total energy: -2.38 eV/atom. The value obtained for the density is 5.21 g cm⁻³.



# 3
## Si2NiPd (GGA-PBE)

Data for a relaxed Si2NiPd crystal.

abc: 3.670 7.609 3.801
angles: 90.00 90.00 90.00
Element x y z (fractional)
Ni 0.500 0.461 0.255
Ni 0.000 0.539 0.755
Pd 0.500 0.932 0.244
Pd 0.000 0.068 0.744
Si 0.000 0.275 0.248
Si 0.000 0.715 0.253
Si 0.500 0.725 0.748
Si 0.500 0.285 0.753

Results
The symmetry is Pmn2_1. As for the total energy: -5.71 eV/atom. The value obtained for the density is 6.92 g cm⁻³.



# 4
## DyPt (GGA-PBE)

Data for a relaxed DyPt crystal.

abc: 3.904 3.904 3.594
angles: 90.00 90.00 120.00
Element x y z (fractional)
Dy 0.667 0.333 0.750
Pt 0.333 0.667 0.250

Results
The symmetry is P-6m2. Its formation energy is -2.04 eV per formula unit. As for the total energy: -6.35 eV/atom. The value obtained for the density is 12.52 g cm⁻³.